P.
Here is a relaxed HfPAuO crystal from OQMD. Energies are from PBE.

abc: 5.411 5.411 4.468
angles: 90.00 90.00 90.00
Sites, in units of the cell vectors:
O 0.500 0.500 0.000
Hf 0.000 0.000 0.500
O 0.000 0.000 0.000
Hf 0.500 0.500 0.500
Au 0.000 0.500 0.082
P 0.500 0.000 0.423
P 0.000 0.500 0.577
Au 0.500 0.000 0.918

Computed properties:
V ... 16.35 A^3/atom
Magnetization ... 0.00 μB/cell

=====

Q.
Here is a relaxed HfPAuO crystal from OQMD. Energies are from PBE.

abc: 3.953 5.459 7.126
angles: 90.00 90.00 90.00
Sites, in units of the cell vectors:
Hf 0.500 0.546 0.009
P 0.000 0.265 0.896
Hf 0.500 0.454 0.509
P 0.000 0.735 0.396
O 0.500 0.345 0.244
Au 0.000 0.070 0.605
O 0.500 0.655 0.744
Au 0.000 0.930 0.105

Computed properties:
V ... 19.22 A^3/atom
Magnetization ... 0.00 μB/cell

=====

R.
Here is a relaxed HfPAuO crystal from OQMD. Energies are from PBE.

abc: 3.691 3.691 8.845
angles: 90.00 90.00 90.00
Sites, in units of the cell vectors:
O 0.000 0.000 0.000
Au 0.500 0.500 0.500
P 0.000 0.500 0.729
Hf 0.000 0.500 0.137
O 0.500 0.500 0.000
Hf 0.500 0.000 0.863
P 0.500 0.000 0.271
Au 0.000 0.000 0.500

Computed properties:
V ... 15.06 A^3/atom
Magnetization ... 0.00 μB/cell

=====

The structure with the most favorable energy is R; the runner-up is 6.6 kJ/mol of atoms above it.

=====

P.
Here is a relaxed HfOsAu crystal from OQMD. Energies are from PBE.

abc: 4.419 4.419 4.419
angles: 60.00 60.00 60.00
Sites, in units of the cell vectors:
Hf 0.000 0.000 0.000
Au 0.250 0.250 0.250
Os 0.750 0.750 0.750

Computed properties:
V ... 20.33 A^3/atom
Magnetization ... 0.01 μB/cell

=====

Q.
Here is a relaxed HfOsAu crystal from OQMD. Energies are from PBE.

abc: 4.441 4.441 4.441
angles: 60.00 60.00 60.00
Sites, in units of the cell vectors:
Os 0.000 0.000 0.000
Hf 0.750 0.750 0.750
Au 0.250 0.250 0.250

Computed properties:
V ... 20.64 A^3/atom
Magnetization ... 0.38 μB/cell

=====

The structure with the most favorable energy is Q; the runner-up is 5.0 kJ/mol of atoms above it.